## TaS3Cl6 (PBE)

Data for a geometry-optimized TaS3Cl6 structure.

abc: 9.2152 9.2152 9.2152
angles: 99.39 99.39 99.39
Each line ends with the local moment (μB).
Atoms (fractional coordinates):
Ta (0.0000, 0.0000, 0.0000)  0.06
Ta (0.5000, 0.5000, 0.5000)  0.00
S (0.0741, 0.4842, 0.0741)  0.40
S (0.0741, 0.0741, 0.4842)  0.40
S (0.5158, 0.9259, 0.9259)  0.40
S (0.4842, 0.0741, 0.0741)  0.40
S (0.9259, 0.9259, 0.5158)  0.40
S (0.9259, 0.5158, 0.9259)  0.40
Cl (0.0565, 0.8167, 0.8166)  0.00
Cl (0.1834, 0.9435, 0.1833)  0.00
Cl (0.2361, 0.4755, 0.4755)  0.00
Cl (0.1833, 0.1834, 0.9435)  0.00
Cl (0.4755, 0.4755, 0.2361)  0.00
Cl (0.5245, 0.7639, 0.5245)  0.00
Cl (0.4755, 0.2361, 0.4755)  0.00
Cl (0.5245, 0.5245, 0.7639)  0.00
Cl (0.8167, 0.8166, 0.0565)  0.00
Cl (0.7639, 0.5245, 0.5245)  0.00
Cl (0.8166, 0.0565, 0.8167)  0.00
Cl (0.9435, 0.1833, 0.1834)  0.00

Output
**VASP energy**: -4.211 eV per atom